Record 1
The following is a DFT calculation (GGA-PBE) of an optimized crystal structure of NiAuN2.

Summary:
N(E_F)   1.1496 states/eV/atom
M_tot   0.000 Bohr magnetons per cell
Space-group type   I-42d
ΔE_f (raw)   1.06 eV/atom
ρ   9521 kg/m3

a b c (Å): 5.4095 5.4095 5.4095
angles (deg): 126.49 126.49 79.08
Fractional positions:
Ni: 0.0000 0.0000 0.0000
Ni: 0.7500 0.2500 0.5000
Au: 0.2500 0.7500 0.5000
Au: 0.5000 0.5000 0.0000
N: 0.0634 0.6250 0.9384
N: 0.3750 0.3134 0.4384
N: 0.6866 0.1250 0.0616
N: 0.8750 0.9366 0.5616

Record 2
The following is a DFT calculation (GGA-PBE) of an optimized crystal structure of Al2Zn2Hg.

Summary:
N(E_F)   0.3753 states/eV/atom
M_tot   0.000 Bohr magnetons per cell
Energy relative to the elements   14.3 kJ per mole of atoms
Space-group type   I4/mmm
ρ   6707 kg/m3

a b c (Å): 6.8012 6.8012 6.8012
angles (deg): 146.51 146.51 48.10
Fractional positions:
Al: 0.1047 0.1047 0.0000
Al: 0.8953 0.8953 0.0000
Zn: 0.2500 0.7500 0.5000
Zn: 0.7500 0.2500 0.5000
Hg: 0.5000 0.5000 0.0000

Record 3
The following is a DFT calculation (GGA-PBE) of an optimized crystal structure of SrMgHgCl6.

Summary:
N(E_F)   0.0000 states/eV/atom
M_tot   0.000 Bohr magnetons per cell
Space-group type   P-31c
ΔE_f (raw)   -1.61 eV/atom
ρ   3506 kg/m3

a b c (Å): 6.7328 6.7328 12.6720
angles (deg): 90.00 90.00 120.00
Fractional positions:
Sr: 0.0000 0.0000 0.0000
Sr: 0.0000 0.0000 0.5000
Mg: 0.3333 0.6667 0.2500
Mg: 0.6667 0.3333 0.7500
Hg: 0.3333 0.6667 0.7500
Hg: 0.6667 0.3333 0.2500
Cl: 0.0204 0.3676 0.1340
Cl: 0.0204 0.6528 0.3660
Cl: 0.3472 0.3676 0.3660
Cl: 0.3472 0.9796 0.1340
Cl: 0.3676 0.0204 0.6340
Cl: 0.3676 0.3472 0.8660
Cl: 0.6324 0.6528 0.1340
Cl: 0.6324 0.9796 0.3660
Cl: 0.6528 0.0204 0.8660
Cl: 0.6528 0.6324 0.6340
Cl: 0.9796 0.3472 0.6340
Cl: 0.9796 0.6324 0.8660

Record 4
The following is a DFT calculation (GGA-PBE) of an optimized crystal structure of Tb5Ho3Er.

Summary:
N(E_F)   1.3858 states/eV/atom
M_tot   0.000 Bohr magnetons per cell
Energy relative to the elements   50.2 kJ per mole of atoms
Space-group type   C2/m
ρ   7502 kg/m3

a b c (Å): 9.4365 9.4365 9.8078
angles (deg): 120.76 120.76 74.38
Fractional positions:
Tb: 0.0984 0.6023 0.2540
Tb: 0.2246 0.2246 0.2347
Tb: 0.2436 0.7564 0.0000
Tb: 0.2773 0.2773 0.9596
Tb: 0.3977 0.9016 0.7460
Tb: 0.6023 0.0984 0.2540
Tb: 0.7227 0.7227 0.0404
Tb: 0.7564 0.2436 0.0000
Tb: 0.7754 0.7754 0.7653
Tb: 0.9016 0.3977 0.7460
Ho: 0.0000 0.0000 0.5000
Ho: 0.0097 0.0097 0.8200
Ho: 0.4816 0.4816 0.6417
Ho: 0.5000 0.5000 0.0000
Ho: 0.5184 0.5184 0.3583
Ho: 0.9903 0.9903 0.1800
Er: 0.2480 0.2480 0.5979
Er: 0.7520 0.7520 0.4021